Computed, not measured: an optimized crystal structure of Cs2Sn3Br9 at the PBE level of DFT.

Lattice parameters (Å, degrees): 13.1621 13.1621 13.7716 119.10 119.10 35.42
Closest atoms and distances in Å follow each position.
Sites, in units of the cell vectors:
1 Cs 0.0538 0.5877 0.9130  8 Br 3.63-4.05
2 Cs 0.4123 0.9462 0.5870  8 Br 3.63-4.05
3 Cs 0.5877 0.0538 0.4130  8 Br 3.63-4.05
4 Cs 0.9462 0.4123 0.0870  8 Br 3.63-4.05
5 Sn 0.0000 0.5000 0.5000  6 Br 2.80-2.86
6 Sn 0.2832 0.5749 0.3550  5 Br 2.77-3.01
7 Sn 0.4251 0.7168 0.1450  5 Br 2.77-3.01
8 Sn 0.5000 0.0000 0.0000  6 Br 2.80-2.86
9 Sn 0.5749 0.2832 0.8550  5 Br 2.77-3.01
10 Sn 0.7168 0.4251 0.6450  5 Br 2.77-3.01
11 Br 0.1047 0.5757 0.4326  2 Sn 2.85-3.01
12 Br 0.1794 0.1852 0.8454  1 Sn 2.80
13 Br 0.1852 0.1794 0.3454  1 Sn 2.80
14 Br 0.2797 0.6486 0.9087  2 Sn 2.77-2.99
15 Br 0.2838 0.7162 0.2500  2 Sn 2.86
16 Br 0.3157 0.3239 0.1610  2 Sn 2.86-2.91
17 Br 0.3239 0.3157 0.6610  2 Sn 2.86-2.91
18 Br 0.3514 0.7203 0.5913  2 Sn 2.77-2.99
19 Br 0.4243 0.8953 0.0674  2 Sn 2.85-3.01
20 Br 0.5757 0.1047 0.9326  2 Sn 2.85-3.01
21 Br 0.6486 0.2797 0.4087  2 Sn 2.77-2.99
22 Br 0.6761 0.6843 0.3390  2 Sn 2.86-2.91
23 Br 0.6843 0.6761 0.8390  2 Sn 2.86-2.91
24 Br 0.7162 0.2838 0.7500  2 Sn 2.86
25 Br 0.7203 0.3514 0.0913  2 Sn 2.77-2.99
26 Br 0.8148 0.8206 0.6546  1 Sn 2.80
27 Br 0.8206 0.8148 0.1546  1 Sn 2.80
28 Br 0.8953 0.4243 0.5674  2 Sn 2.85-3.01

## Properties
The uncorrected formation energy is -1.03 eV/atom. Its space group is C2/c. The value obtained for the magnetic moment is 0.0000 μB per atom. Its volume is 42.46 Å³/atom. As for the total energy: -43.19 eV per formula unit.